# 1
The following is a DFT calculation (PBE) of a relaxed structure of LiP2Se.

abc: 3.316 3.495 6.219
angles: 90.00 90.00 90.00
Positions (direct):
Li  0.000  0.000  0.000
P  0.000  0.000  0.589
P  0.500  0.500  0.494
Se  0.500  0.500  0.131

Total magnetic moment: 0.0 μB per formula unit
SG: Pmm2 (25)
D(E_F): 1.5 states/eV/cell


# 2
The following is a DFT calculation (PBE) of a relaxed structure of LiP2Se.

abc: 5.727 5.727 5.727
angles: 145.00 142.47 52.25
Positions (direct):
Li  0.000  0.000  0.000
P  0.281  0.781  0.500
P  0.719  0.219  0.500
Se  0.500  0.500  0.000

Total magnetic moment: 0.0 μB per formula unit
SG: Immm (71)
D(E_F): 1.7 states/eV/cell


# 3
The following is a DFT calculation (PBE) of a relaxed structure of LiP2Se.

abc: 4.455 4.455 3.321
angles: 90.00 90.00 90.00
Positions (direct):
Li  0.000  0.000  0.000
P  0.000  0.500  0.500
P  0.500  0.000  0.500
Se  0.500  0.500  0.000

Total magnetic moment: 0.0 μB per formula unit
SG: P4/mmm (123)
D(E_F): 2.4 states/eV/cell


# 4
The following is a DFT calculation (PBE) of a relaxed structure of LiP2Se.

abc: 6.145 6.145 4.089
angles: 108.81 108.81 31.41
Positions (direct):
Li  0.000  0.000  0.000
P  0.269  0.269  0.349
P  0.731  0.731  0.651
Se  0.500  0.500  0.500

Total magnetic moment: 0.0 μB per formula unit
SG: C2/m (12)
D(E_F): 0.6 states/eV/cell


# 5
The following is a DFT calculation (PBE) of a relaxed structure of Li2PSe.

abc: 2.577 4.046 7.225
angles: 90.00 90.00 90.00
Positions (direct):
Li  0.000  0.000  0.000
Li  0.500  0.500  0.482
P  0.000  0.000  0.354
Se  0.500  0.500  0.844

Energy above the most stable polymorph in this dataset: 128 meV per atom
Total magnetic moment: 0.0 μB per formula unit
SG: Pmm2 (25)
D(E_F): 1.5 states/eV/cell


# 6
The following is a DFT calculation (PBE) of a relaxed structure of Li4PSe.

abc: 5.049 5.049 5.049
angles: 60.00 60.00 60.00
Positions (direct):
Li  0.124  0.124  0.124
Li  0.124  0.124  0.628
Li  0.124  0.628  0.124
Li  0.628  0.124  0.124
P  0.750  0.750  0.750
Se  0.500  0.500  0.500

Total magnetic moment: 0.0 μB per formula unit
SG: F-43m (216)
D(E_F): 2.6 states/eV/cell


no.,formation energy without anion corrections (eV per atom)
1,-0.24
2,0.02
3,0.29
4,-0.30
5,-0.43
6,-0.13